(1)
{
  "formula": "Mg16Al12Pd",
  "functional": "GGA-PBE",
  "state": "relaxed",
  "formation_enthalpy_0k_mev_per_atom": -85,
  "lattice": [[5.234, -7.346, 0.000], [5.234, 7.346, 0.000], [-5.184, 0.000, 7.430]],
  "species": ["Mg", "Mg", "Mg", "Mg", "Mg", "Mg", "Mg", "Mg", "Mg", "Mg", "Mg", "Mg", "Mg", "Mg", "Mg", "Mg", "Al", "Al", "Al", "Al", "Al", "Al", "Al", "Al", "Al", "Al", "Al", "Al", "Pd"],
  "frac_coords": [[0.000, 0.000, 0.000], [0.001, 0.319, 0.604], [0.005, 0.354, 0.001], [0.006, 0.604, 0.324], [0.011, 0.011, 0.354], [0.298, 0.680, 0.693], [0.319, 0.001, 0.604], [0.332, 0.588, 0.992], [0.354, 0.005, 0.001], [0.407, 0.716, 0.405], [0.588, 0.332, 0.992], [0.604, 0.006, 0.324], [0.626, 0.626, 0.668], [0.680, 0.298, 0.693], [0.695, 0.695, 0.299], [0.716, 0.407, 0.405], [0.002, 0.815, 0.642], [0.008, 0.637, 0.824], [0.185, 0.370, 0.370], [0.186, 0.186, 0.813], [0.198, 0.822, 0.190], [0.364, 0.364, 0.177], [0.370, 0.185, 0.370], [0.637, 0.008, 0.824], [0.650, 0.832, 0.019], [0.815, 0.002, 0.642], [0.822, 0.198, 0.190], [0.832, 0.650, 0.019], [0.331, 0.331, 0.652]]
}

(2)
{
  "formula": "MgAl4Pd",
  "functional": "GGA-PBE",
  "state": "relaxed",
  "formation_enthalpy_0k_mev_per_atom": -255,
  "lattice": [[4.826, 0.000, 0.000], [-1.907, 6.085, 0.000], [-0.615, -1.823, 7.146]],
  "species": ["Mg", "Mg", "Al", "Al", "Al", "Al", "Al", "Al", "Al", "Al", "Pd", "Pd"],
  "frac_coords": [[0.032, 0.341, 0.289], [0.968, 0.659, 0.711], [0.070, 0.142, 0.873], [0.299, 0.601, 0.039], [0.375, 0.410, 0.647], [0.488, 0.092, 0.354], [0.512, 0.908, 0.646], [0.625, 0.590, 0.353], [0.701, 0.399, 0.961], [0.930, 0.858, 0.127], [0.000, 0.000, 0.500], [0.500, 0.000, 0.000]]
}

(3)
{
  "formula": "Mg16Al12Pd",
  "functional": "GGA-PBE",
  "state": "relaxed",
  "formation_enthalpy_0k_mev_per_atom": -70,
  "lattice": [[7.351, 4.244, 3.057], [-7.351, 4.244, 3.057], [0.000, -8.489, 3.057]],
  "species": ["Mg", "Mg", "Mg", "Mg", "Mg", "Mg", "Mg", "Mg", "Mg", "Mg", "Mg", "Mg", "Mg", "Mg", "Mg", "Mg", "Al", "Al", "Al", "Al", "Al", "Al", "Al", "Al", "Al", "Al", "Al", "Al", "Pd"],
  "frac_coords": [[0.000, 0.000, 0.000], [0.268, 0.673, 0.673], [0.309, 0.584, 0.985], [0.309, 0.985, 0.584], [0.340, 0.990, 0.990], [0.411, 0.411, 0.687], [0.411, 0.687, 0.411], [0.584, 0.309, 0.985], [0.584, 0.985, 0.309], [0.673, 0.268, 0.673], [0.673, 0.673, 0.268], [0.687, 0.411, 0.411], [0.985, 0.309, 0.584], [0.985, 0.584, 0.309], [0.990, 0.340, 0.990], [0.990, 0.990, 0.340], [0.153, 0.342, 0.342], [0.178, 0.178, 0.793], [0.178, 0.793, 0.178], [0.342, 0.153, 0.342], [0.342, 0.342, 0.153], [0.626, 0.807, 0.989], [0.626, 0.989, 0.807], [0.793, 0.178, 0.178], [0.807, 0.626, 0.989], [0.807, 0.989, 0.626], [0.989, 0.626, 0.807], [0.989, 0.807, 0.626], [0.712, 0.712, 0.712]]
}

(4)
{
  "formula": "MgAl2Pd2",
  "functional": "GGA-PBE",
  "state": "relaxed",
  "formation_enthalpy_0k_mev_per_atom": -603,
  "lattice": [[-1.905, 1.905, 6.038], [1.905, -1.905, 6.038], [1.905, 1.905, -6.038]],
  "species": ["Mg", "Al", "Al", "Pd", "Pd"],
  "frac_coords": [[0.000, 0.000, 0.000], [0.250, 0.750, 0.500], [0.750, 0.250, 0.500], [0.387, 0.387, 0.000], [0.613, 0.613, 0.000]]
}

(5)
{
  "formula": "Mg2Al2Pd7",
  "functional": "GGA-PBE",
  "state": "relaxed",
  "formation_enthalpy_0k_mev_per_atom": -441,
  "lattice": [[3.800, -4.423, 0.000], [3.800, 4.423, 0.000], [0.000, 0.000, 5.763]],
  "species": ["Mg", "Mg", "Al", "Al", "Pd", "Pd", "Pd", "Pd", "Pd", "Pd", "Pd"],
  "frac_coords": [[0.194, 0.194, 0.000], [0.806, 0.806, 0.000], [0.284, 0.716, 0.500], [0.716, 0.284, 0.500], [0.000, 0.000, 0.500], [0.000, 0.500, 0.242], [0.000, 0.500, 0.758], [0.500, 0.000, 0.242], [0.500, 0.000, 0.758], [0.500, 0.500, 0.236], [0.500, 0.500, 0.764]]
}

(6)
{
  "formula": "MgAl6Pd",
  "functional": "GGA-PBE",
  "state": "relaxed",
  "formation_enthalpy_0k_mev_per_atom": -89,
  "lattice": [[4.404, 2.543, 2.225], [-4.404, 2.543, 2.225], [0.000, -5.085, 2.225]],
  "species": ["Mg", "Al", "Al", "Al", "Al", "Al", "Al", "Pd"],
  "frac_coords": [[0.000, 0.000, 0.000], [0.212, 0.212, 0.660], [0.212, 0.660, 0.212], [0.340, 0.788, 0.788], [0.660, 0.212, 0.212], [0.788, 0.340, 0.788], [0.788, 0.788, 0.340], [0.500, 0.500, 0.500]]
}

(7)
{
  "formula": "MgAl5Pd",
  "functional": "GGA-PBE",
  "state": "relaxed",
  "formation_enthalpy_0k_mev_per_atom": -238,
  "lattice": [[4.328, 0.000, 0.000], [0.000, 4.328, 0.000], [0.000, 0.000, 6.589]],
  "species": ["Mg", "Al", "Al", "Al", "Al", "Al", "Pd"],
  "frac_coords": [[0.000, 0.000, 0.000], [0.000, 0.500, 0.286], [0.000, 0.500, 0.714], [0.500, 0.000, 0.286], [0.500, 0.000, 0.714], [0.500, 0.500, 0.000], [0.000, 0.000, 0.500]]
}

(8)
{
  "formula": "MgAl8Pd6",
  "functional": "GGA-PBE",
  "state": "relaxed",
  "formation_enthalpy_0k_mev_per_atom": -748,
  "lattice": [[3.703, 2.138, 5.205], [-3.703, 2.138, 5.205], [0.000, -4.276, 5.205]],
  "species": ["Mg", "Al", "Al", "Al", "Al", "Al", "Al", "Al", "Al", "Pd", "Pd", "Pd", "Pd", "Pd", "Pd"],
  "frac_coords": [[0.000, 0.000, 0.000], [0.118, 0.449, 0.786], [0.214, 0.882, 0.551], [0.333, 0.333, 0.333], [0.449, 0.786, 0.118], [0.551, 0.214, 0.882], [0.667, 0.667, 0.667], [0.786, 0.118, 0.449], [0.882, 0.551, 0.214], [0.053, 0.714, 0.393], [0.286, 0.607, 0.947], [0.393, 0.053, 0.714], [0.607, 0.947, 0.286], [0.714, 0.393, 0.053], [0.947, 0.286, 0.607]]
}

(9)
{
  "formula": "MgAlPd2",
  "functional": "GGA-PBE",
  "state": "relaxed",
  "formation_enthalpy_0k_mev_per_atom": -827,
  "lattice": [[0.000, 3.118, 3.118], [3.118, 0.000, 3.118], [3.118, 3.118, 0.000]],
  "species": ["Mg", "Al", "Pd", "Pd"],
  "frac_coords": [[0.000, 0.000, 0.000], [0.500, 0.500, 0.500], [0.250, 0.250, 0.250], [0.750, 0.750, 0.750]]
}

(10)
{
  "formula": "MgAl4Pd7",
  "functional": "GGA-PBE",
  "state": "relaxed",
  "formation_enthalpy_0k_mev_per_atom": -620,
  "lattice": [[5.890, -2.278, 0.000], [5.890, 2.278, 0.000], [-5.466, 0.000, 7.271]],
  "species": ["Mg", "Al", "Al", "Al", "Al", "Pd", "Pd", "Pd", "Pd", "Pd", "Pd", "Pd"],
  "frac_coords": [[0.000, 0.000, 0.000], [0.290, 0.290, 0.660], [0.421, 0.421, 0.212], [0.579, 0.579, 0.788], [0.710, 0.710, 0.340], [0.074, 0.074, 0.335], [0.217, 0.217, 0.866], [0.352, 0.352, 0.423], [0.500, 0.500, 0.000], [0.648, 0.648, 0.577], [0.783, 0.783, 0.134], [0.926, 0.926, 0.665]]
}

(11)
{
  "formula": "Mg2Al2Pd",
  "functional": "GGA-PBE",
  "state": "relaxed",
  "formation_enthalpy_0k_mev_per_atom": -337,
  "lattice": [[5.965, -2.920, 0.000], [5.965, 2.920, 0.000], [-1.010, 0.000, 5.384]],
  "species": ["Mg", "Mg", "Mg", "Mg", "Al", "Al", "Al", "Al", "Pd", "Pd"],
  "frac_coords": [[0.025, 0.748, 0.940], [0.252, 0.975, 0.560], [0.748, 0.025, 0.440], [0.975, 0.252, 0.060], [0.204, 0.452, 0.437], [0.452, 0.204, 0.937], [0.548, 0.796, 0.063], [0.796, 0.548, 0.563], [0.465, 0.535, 0.250], [0.535, 0.465, 0.750]]
}

(12)
{
  "formula": "MgAlPd5",
  "functional": "GGA-PBE",
  "state": "relaxed",
  "formation_enthalpy_0k_mev_per_atom": -536,
  "lattice": [[4.116, 0.000, 0.000], [0.000, 4.116, 0.000], [0.000, 0.000, 6.671]],
  "species": ["Mg", "Al", "Pd", "Pd", "Pd", "Pd", "Pd"],
  "frac_coords": [[0.000, 0.000, 0.000], [0.500, 0.500, 0.500], [0.000, 0.500, 0.284], [0.000, 0.500, 0.716], [0.500, 0.000, 0.284], [0.500, 0.000, 0.716], [0.500, 0.500, 0.000]]
}

(13)
{
  "formula": "Mg8AlPd2",
  "functional": "GGA-PBE",
  "state": "relaxed",
  "formation_enthalpy_0k_mev_per_atom": -249,
  "lattice": [[4.035, -5.996, 0.000], [4.035, 5.996, 0.000], [-1.369, 0.000, 4.780]],
  "species": ["Mg", "Mg", "Mg", "Mg", "Mg", "Mg", "Mg", "Mg", "Al", "Pd", "Pd"],
  "frac_coords": [[0.066, 0.322, 0.584], [0.243, 0.757, 0.000], [0.322, 0.066, 0.584], [0.378, 0.378, 0.187], [0.622, 0.622, 0.813], [0.678, 0.934, 0.416], [0.757, 0.243, 0.000], [0.934, 0.678, 0.416], [0.000, 0.000, 0.000], [0.317, 0.683, 0.500], [0.683, 0.317, 0.500]]
}

(14)
{
  "formula": "Mg2Al2Pd",
  "functional": "GGA-PBE",
  "state": "relaxed",
  "formation_enthalpy_0k_mev_per_atom": -277,
  "lattice": [[-2.184, 2.184, 10.014], [2.184, -2.184, 10.014], [2.184, 2.184, -10.014]],
  "species": ["Mg", "Mg", "Mg", "Mg", "Al", "Al", "Al", "Al", "Pd", "Pd"],
  "frac_coords": [[0.052, 0.302, 0.750], [0.302, 0.052, 0.250], [0.698, 0.948, 0.750], [0.948, 0.698, 0.250], [0.200, 0.450, 0.750], [0.450, 0.200, 0.250], [0.550, 0.800, 0.750], [0.800, 0.550, 0.250], [0.375, 0.625, 0.750], [0.625, 0.375, 0.250]]
}

(15)
{
  "formula": "Mg2AlPd4",
  "functional": "GGA-PBE",
  "state": "relaxed",
  "formation_enthalpy_0k_mev_per_atom": -601,
  "lattice": [[-2.981, 2.981, 3.250], [2.981, -2.981, 3.250], [2.981, 2.981, -3.250]],
  "species": ["Mg", "Mg", "Al", "Pd", "Pd", "Pd", "Pd"],
  "frac_coords": [[0.000, 0.500, 0.500], [0.500, 0.000, 0.500], [0.000, 0.000, 0.000], [0.000, 0.000, 0.500], [0.000, 0.500, 0.000], [0.500, 0.000, 0.000], [0.500, 0.500, 0.500]]
}

(16)
{
  "formula": "Mg2Al9Pd3",
  "functional": "GGA-PBE",
  "state": "relaxed",
  "formation_enthalpy_0k_mev_per_atom": -435,
  "lattice": [[6.629, -3.720, 0.000], [6.629, 3.720, 0.000], [-4.514, 0.000, 9.496]],
  "species": ["Mg", "Mg", "Mg", "Mg", "Al", "Al", "Al", "Al", "Al", "Al", "Al", "Al", "Al", "Al", "Al", "Al", "Al", "Al", "Al", "Al", "Al", "Al", "Pd", "Pd", "Pd", "Pd", "Pd", "Pd"],
  "frac_coords": [[0.105, 0.249, 0.247], [0.249, 0.105, 0.747], [0.751, 0.895, 0.253], [0.895, 0.751, 0.753], [0.020, 0.870, 0.086], [0.130, 0.980, 0.414], [0.188, 0.367, 0.577], [0.219, 0.577, 0.249], [0.303, 0.488, 0.934], [0.348, 0.652, 0.750], [0.367, 0.188, 0.077], [0.423, 0.781, 0.251], [0.488, 0.303, 0.434], [0.512, 0.697, 0.566], [0.577, 0.219, 0.749], [0.633, 0.812, 0.923], [0.652, 0.348, 0.250], [0.697, 0.512, 0.066], [0.781, 0.423, 0.751], [0.812, 0.633, 0.423], [0.870, 0.020, 0.586], [0.980, 0.130, 0.914], [0.000, 0.500, 0.000], [0.157, 0.666, 0.491], [0.334, 0.843, 0.009], [0.500, 0.000, 0.500], [0.666, 0.157, 0.991], [0.843, 0.334, 0.509]]
}

(17)
{
  "formula": "Mg2AlPd5",
  "functional": "GGA-PBE",
  "state": "relaxed",
  "formation_enthalpy_0k_mev_per_atom": -765,
  "lattice": [[5.501, 0.000, 0.000], [0.000, 10.704, 0.000], [0.000, 0.000, 4.160]],
  "species": ["Mg", "Mg", "Mg", "Mg", "Al", "Al", "Pd", "Pd", "Pd", "Pd", "Pd", "Pd", "Pd", "Pd", "Pd", "Pd"],
  "frac_coords": [[0.167, 0.141, 0.000], [0.333, 0.641, 0.000], [0.667, 0.359, 0.000], [0.833, 0.859, 0.000], [0.000, 0.500, 0.500], [0.500, 0.000, 0.500], [0.000, 0.000, 0.500], [0.084, 0.738, 0.500], [0.180, 0.395, 0.000], [0.320, 0.895, 0.000], [0.416, 0.238, 0.500], [0.500, 0.500, 0.500], [0.584, 0.762, 0.500], [0.680, 0.105, 0.000], [0.820, 0.605, 0.000], [0.916, 0.262, 0.500]]
}

(18)
{
  "formula": "Mg5AlPd4",
  "functional": "GGA-PBE",
  "state": "relaxed",
  "formation_enthalpy_0k_mev_per_atom": -598,
  "lattice": [[3.023, 0.000, 0.000], [0.000, 3.023, 0.000], [0.000, 0.000, 18.381]],
  "species": ["Mg", "Mg", "Mg", "Mg", "Mg", "Al", "Pd", "Pd", "Pd", "Pd"],
  "frac_coords": [[0.000, 0.000, 0.000], [0.000, 0.000, 0.190], [0.000, 0.000, 0.380], [0.000, 0.000, 0.620], [0.000, 0.000, 0.810], [0.500, 0.500, 0.500], [0.500, 0.500, 0.095], [0.500, 0.500, 0.287], [0.500, 0.500, 0.713], [0.500, 0.500, 0.905]]
}

(19)
{
  "formula": "Mg17Al11Pd",
  "functional": "GGA-PBE",
  "state": "relaxed",
  "formation_enthalpy_0k_mev_per_atom": -89,
  "lattice": [[5.236, -7.445, 0.000], [5.236, 7.445, 0.000], [-5.117, 0.000, 7.351]],
  "species": ["Mg", "Mg", "Mg", "Mg", "Mg", "Mg", "Mg", "Mg", "Mg", "Mg", "Mg", "Mg", "Mg", "Mg", "Mg", "Mg", "Mg", "Al", "Al", "Al", "Al", "Al", "Al", "Al", "Al", "Al", "Al", "Al", "Pd"],
  "frac_coords": [[0.000, 0.000, 0.000], [0.000, 0.339, 0.995], [0.000, 0.598, 0.317], [0.002, 0.002, 0.354], [0.002, 0.314, 0.609], [0.286, 0.681, 0.686], [0.314, 0.002, 0.609], [0.315, 0.598, 0.002], [0.339, 0.000, 0.995], [0.391, 0.391, 0.720], [0.400, 0.715, 0.402], [0.598, 0.000, 0.317], [0.598, 0.315, 0.002], [0.651, 0.651, 0.658], [0.681, 0.286, 0.686], [0.682, 0.682, 0.289], [0.715, 0.400, 0.402], [0.001, 0.819, 0.638], [0.183, 0.367, 0.366], [0.185, 0.821, 0.190], [0.361, 0.361, 0.166], [0.367, 0.183, 0.366], [0.631, 0.998, 0.816], [0.636, 0.816, 0.007], [0.816, 0.636, 0.007], [0.819, 0.001, 0.638], [0.821, 0.185, 0.190], [0.998, 0.631, 0.816], [0.176, 0.176, 0.815]]
}